(1)
The following is a DFT calculation (PBE) of MnAs2OsC after structural relaxation.

Output
**Calculated volume**: 79 Å³ per cell
**N(E_F)**: 0.53 states/eV per atom
**Electronic total energy**: -34.39 eV per cell

Structure (CIF):
```
data_MnAs2OsC
_cell_length_a 4.5442
_cell_length_b 4.5442
_cell_length_c 3.8429
_cell_angle_alpha 90.00
_cell_angle_beta 90.00
_cell_angle_gamma 90.00
_symmetry_space_group_name_H-M 'P 4/m m m'
_symmetry_Int_Tables_number 123
_symmetry_space_group_name_Hall '-P 4 2'
loop_
_atom_site_label
_atom_site_type_symbol
_atom_site_fract_x
_atom_site_fract_y
_atom_site_fract_z
_atom_site_occupancy
Mn1 Mn 0.0000 0.0000 0.0000 1
As1 As 0.0000 0.5000 0.5000 1
Os1 Os 0.5000 0.5000 0.0000 1
C1 C 0.5000 0.5000 0.5000 1
```

=====

(2)
The following is a DFT calculation (PBE) of Mn2AsOsC after structural relaxation.

Output
**Calculated volume**: 78 Å³ per cell
**N(E_F)**: 0.92 states/eV per atom
**Electronic total energy**: -34.21 eV per cell

Structure (CIF):
```
data_Mn2AsOsC
_cell_length_a 4.5882
_cell_length_b 4.5882
_cell_length_c 3.7277
_cell_angle_alpha 90.00
_cell_angle_beta 90.00
_cell_angle_gamma 90.00
_symmetry_space_group_name_H-M 'P 4/m m m'
_symmetry_Int_Tables_number 123
_symmetry_space_group_name_Hall '-P 4 2'
loop_
_atom_site_label
_atom_site_type_symbol
_atom_site_fract_x
_atom_site_fract_y
_atom_site_fract_z
_atom_site_occupancy
Mn1 Mn 0.0000 0.5000 0.0000 1
As1 As 0.0000 0.0000 0.0000 1
Os1 Os 0.5000 0.5000 0.5000 1
C1 C 0.0000 0.0000 0.5000 1
```

=====

(3)
The following is a DFT calculation (PBE) of PaMn2AsC after structural relaxation.

Output
**Calculated volume**: 280 Å³ per cell
**N(E_F)**: 1.11 states/eV per atom
**Electronic total energy**: -176.09 eV per cell

Structure (CIF):
```
data_PaMn2AsC
_cell_length_a 3.8004
_cell_length_b 10.7764
_cell_length_c 6.8306
_cell_angle_alpha 90.00
_cell_angle_beta 90.00
_cell_angle_gamma 90.00
_symmetry_space_group_name_H-M 'C m c m'
_symmetry_Int_Tables_number 63
_symmetry_space_group_name_Hall '-C 2c 2'
loop_
_atom_site_label
_atom_site_type_symbol
_atom_site_fract_x
_atom_site_fract_y
_atom_site_fract_z
_atom_site_occupancy
Pa1 Pa 0.0000 0.0518 0.2500 1
Mn1 Mn 0.0000 0.3359 0.0595 1
As1 As 0.0000 0.2289 0.7500 1
C1 C 0.0000 0.5000 0.0000 1
```